First-principles (GGA-PBE) data for a relaxed structure of Ba2SbCl, as listed in Alexandria.

## Properties
SG: No. 160
E_form (uncorrected) in eV per formula unit: -6.16

Unit cell a=4.873 b=4.873 c=8.764 alpha=73.86 beta=73.86 gamma=60.00
Atoms (fractional coordinates):
Ba  0.079  0.079  0.764
Ba  0.258  0.258  0.225
Sb  0.668  0.668  0.997
Cl  0.495  0.495  0.514

***

First-principles (GGA-PBE) data for a relaxed structure of Ba2SbCl, as listed in Alexandria.

## Properties
SG: No. 15
E_form (uncorrected) in eV per formula unit: -6.40

Unit cell a=8.406 b=8.567 c=10.967 alpha=105.00 beta=104.42 gamma=110.10
Atoms (fractional coordinates):
Ba  0.176  0.434  0.375
Ba  0.567  0.307  0.124
Ba  0.057  0.817  0.124
Ba  0.301  0.060  0.625
Ba  0.699  0.940  0.375
Ba  0.943  0.183  0.876
Ba  0.433  0.693  0.876
Ba  0.824  0.566  0.625
Sb  0.189  0.939  0.877
Sb  0.936  0.686  0.371
Sb  0.064  0.314  0.629
Sb  0.811  0.061  0.123
Cl  0.561  0.811  0.622
Cl  0.687  0.437  0.874
Cl  0.313  0.563  0.126
Cl  0.439  0.189  0.378

***

First-principles (GGA-PBE) data for a relaxed structure of BaSbCl, as listed in Alexandria.

## Properties
Distance to the lowest polymorph of the same formula in kJ/mol of atoms: 35.62
SG: No. 107
E_form (uncorrected) in eV per formula unit: -3.38

Unit cell a=8.360 b=8.361 c=3.799 alpha=76.86 beta=76.88 gamma=26.26
Atoms (fractional coordinates):
Ba  0.977  0.977  0.023
Cl  0.379  0.379  0.621
Sb  0.644  0.644  0.356

***

First-principles (GGA-PBE) data for a relaxed structure of Ba12Sb3Cl5, as listed in Alexandria.

## Properties
SG: No. 230
E_form (uncorrected) in eV per formula unit: -23.30

Unit cell a=16.820 b=16.820 c=16.820 alpha=109.47 beta=109.47 gamma=109.47
Each line ends with the local moment (μB).
Atoms (fractional coordinates):
Sb  0.750  0.375  0.125  0.01
Sb  0.875  0.750  0.125  0.01
Sb  0.375  0.750  0.625  0.01
Sb  0.250  0.125  0.375  0.01
Sb  0.875  0.125  0.250  0.01
Sb  0.375  0.625  0.250  0.01
Sb  0.625  0.375  0.750  0.01
Sb  0.125  0.875  0.750  0.01
Sb  0.750  0.875  0.625  0.01
Sb  0.625  0.250  0.375  0.01
Sb  0.125  0.250  0.875  0.01
Sb  0.250  0.625  0.875  0.01
Cl  0.125  0.375  0.250  0.02
Cl  0.000  0.500  0.000  0.01
Cl  0.000  0.000  0.000  0.01
Cl  0.375  0.250  0.125  0.02
Cl  0.500  0.000  0.500  0.01
Cl  0.500  0.500  0.000  0.01
Cl  0.125  0.750  0.375  0.02
Cl  0.750  0.125  0.875  0.02
Cl  0.750  0.625  0.375  0.02
Cl  0.375  0.125  0.750  0.02
Cl  0.625  0.875  0.250  0.02
Cl  0.500  0.500  0.500  0.01
Cl  0.500  0.000  0.000  0.01
Cl  0.000  0.000  0.500  0.01
Cl  0.250  0.375  0.625  0.02
Cl  0.250  0.875  0.125  0.02
Cl  0.000  0.500  0.500  0.01
Cl  0.875  0.250  0.625  0.02
Cl  0.625  0.750  0.875  0.02
Cl  0.875  0.625  0.750  0.02
Ba  0.721  0.127  0.042  0.10
Ba  0.321  0.542  0.414  0.10
Ba  0.958  0.373  0.279  0.10
Ba  0.542  0.221  0.127  0.10
Ba  0.594  0.721  0.679  0.10
Ba  0.958  0.586  0.179  0.10
Ba  0.321  0.779  0.406  0.10
Ba  0.086  0.906  0.127  0.10
Ba  0.586  0.958  0.679  0.10
Ba  0.721  0.594  0.179  0.10
Ba  0.779  0.458  0.373  0.10
Ba  0.821  0.914  0.042  0.10
Ba  0.127  0.721  0.542  0.10
Ba  0.373  0.414  0.094  0.10
Ba  0.094  0.914  0.373  0.10
Ba  0.406  0.127  0.586  0.10
Ba  0.094  0.179  0.221  0.10
Ba  0.458  0.679  0.086  0.10
Ba  0.821  0.906  0.279  0.10
Ba  0.127  0.406  0.086  0.10
Ba  0.373  0.958  0.779  0.10
Ba  0.586  0.627  0.406  0.10
Ba  0.914  0.821  0.542  0.10
Ba  0.779  0.321  0.906  0.10
Ba  0.414  0.373  0.594  0.10
Ba  0.086  0.179  0.458  0.10
Ba  0.221  0.679  0.094  0.10
Ba  0.179  0.094  0.721  0.10
Ba  0.627  0.042  0.221  0.10
Ba  0.873  0.594  0.914  0.10
Ba  0.542  0.321  0.914  0.10
Ba  0.594  0.873  0.414  0.10
Ba  0.906  0.821  0.779  0.10
Ba  0.906  0.086  0.627  0.10
Ba  0.873  0.279  0.458  0.10
Ba  0.179  0.086  0.958  0.10
Ba  0.627  0.586  0.906  0.10
Ba  0.414  0.042  0.321  0.10
Ba  0.279  0.406  0.821  0.10
Ba  0.221  0.542  0.627  0.10
Ba  0.914  0.094  0.873  0.10
Ba  0.679  0.221  0.594  0.10
Ba  0.458  0.779  0.873  0.10
Ba  0.042  0.414  0.821  0.10
Ba  0.406  0.279  0.321  0.10
Ba  0.042  0.627  0.721  0.10
Ba  0.679  0.458  0.586  0.10
Ba  0.279  0.873  0.958  0.10

***

First-principles (GGA-PBE) data for a relaxed structure of Ba4Sb2Cl, as listed in Alexandria.

## Properties
Distance to the lowest polymorph of the same formula in kJ/mol of atoms: 0.00
SG: No. 122
E_form (uncorrected) in eV per formula unit: -8.79

Unit cell a=9.086 b=9.086 c=9.086 alpha=111.44 beta=105.60 gamma=111.44
Each line ends with the local moment (μB).
Atoms (fractional coordinates):
Sb  0.875  0.123  0.498  -0.01
Sb  0.502  0.377  0.625  -0.01
Sb  0.375  0.877  0.752  -0.01
Sb  0.248  0.623  0.125  -0.01
Ba  0.125  0.883  0.393  0.06
Ba  0.607  0.731  0.489  0.06
Ba  0.992  0.617  0.761  0.06
Ba  0.239  0.231  0.857  0.06
Ba  0.625  0.769  0.008  0.06
Ba  0.758  0.269  0.875  0.06
Ba  0.511  0.117  0.242  0.06
Ba  0.143  0.383  0.375  0.06
Cl  0.000  0.000  0.000  0.01
Cl  0.750  0.500  0.250  0.01

***

First-principles (GGA-PBE) data for a relaxed structure of BaSbCl4, as listed in Alexandria.

## Properties
SG: No. 216
E_form (uncorrected) in eV per formula unit: -2.68

Unit cell a=6.192 b=6.192 c=6.192 alpha=60.00 beta=60.00 gamma=60.00
Each line ends with the local moment (μB).
Atoms (fractional coordinates):
Ba  0.000  0.000  0.000  0.07
Sb  0.750  0.750  0.750  0.76
Cl  0.876  0.375  0.375  -0.22
Cl  0.375  0.375  0.876  -0.22
Cl  0.375  0.876  0.375  -0.22
Cl  0.375  0.375  0.375  -0.22

***

First-principles (GGA-PBE) data for a relaxed structure of BaSbCl5, as listed in Alexandria.

## Properties
SG: No. 14
E_form (uncorrected) in eV per formula unit: -10.88

Unit cell a=7.548 b=11.018 c=12.851 alpha=90.00 beta=90.00 gamma=114.87
Atoms (fractional coordinates):
Ba  0.417  0.399  0.724
Ba  0.083  0.101  0.224
Ba  0.583  0.601  0.276
Ba  0.917  0.899  0.776
Sb  0.589  0.205  0.993
Sb  0.911  0.295  0.493
Sb  0.411  0.795  0.007
Sb  0.089  0.705  0.507
Cl  0.754  0.395  0.872
Cl  0.746  0.105  0.372
Cl  0.246  0.605  0.128
Cl  0.254  0.895  0.628
Cl  0.138  0.521  0.636
Cl  0.362  0.979  0.136
Cl  0.862  0.479  0.364
Cl  0.638  0.021  0.864
Cl  0.260  0.343  0.380
Cl  0.240  0.157  0.880
Cl  0.740  0.657  0.620
Cl  0.760  0.843  0.120
Cl  0.909  0.258  0.084
Cl  0.591  0.242  0.584
Cl  0.091  0.742  0.916
Cl  0.409  0.758  0.416
Cl  0.026  0.159  0.627
Cl  0.474  0.341  0.127
Cl  0.974  0.841  0.373
Cl  0.526  0.659  0.873

***

First-principles (GGA-PBE) data for a relaxed structure of Ba2SbCl, as listed in Alexandria.

## Properties
SG: No. 122
E_form (uncorrected) in eV per formula unit: -5.50

Unit cell a=7.162 b=7.162 c=9.617 alpha=68.14 beta=68.14 gamma=90.00
Atoms (fractional coordinates):
Sb  0.000  0.000  0.000
Sb  0.750  0.250  0.500
Ba  0.611  0.125  0.250
Ba  0.139  0.625  0.250
Ba  0.375  0.389  0.750
Ba  0.875  0.861  0.750
Cl  0.500  0.500  0.000
Cl  0.250  0.750  0.500

***

First-principles (GGA-PBE) data for a relaxed structure of BaSbCl, as listed in Alexandria.

## Properties
Distance to the lowest polymorph of the same formula in kJ/mol of atoms: 52.81
SG: No. 156
E_form (uncorrected) in eV per formula unit: -2.84

Unit cell a=4.304 b=4.304 c=8.554 alpha=90.00 beta=90.00 gamma=120.00
Atoms (fractional coordinates):
Ba  0.000  0.000  0.041
Cl  0.333  0.667  0.238
Sb  0.667  0.333  0.721

***

First-principles (GGA-PBE) data for a relaxed structure of Ba3SbCl2, as listed in Alexandria.

## Properties
SG: No. 71
E_form (uncorrected) in eV per formula unit: -10.08

Unit cell a=4.865 b=6.758 c=8.106 alpha=114.63 beta=107.46 gamma=90.00
Atoms (fractional coordinates):
Ba  0.332  0.332  0.663
Ba  0.000  0.000  0.000
Ba  0.668  0.668  0.337
Sb  0.000  0.500  0.000
Cl  0.663  0.163  0.326
Cl  0.337  0.837  0.674

***

First-principles (GGA-PBE) data for a relaxed structure of Ba8Sb5Cl, as listed in Alexandria.

## Properties
SG: No. 82
E_form (uncorrected) in eV per formula unit: -17.11

Unit cell a=9.131 b=9.131 c=9.131 alpha=109.77 beta=108.88 gamma=109.77
Atoms (fractional coordinates):
Ba  0.127  0.750  0.017
Ba  0.983  0.109  0.733
Ba  0.746  0.242  0.359
Ba  0.641  0.387  0.883
Ba  0.496  0.613  0.254
Ba  0.624  0.891  0.873
Ba  0.267  0.250  0.376
Ba  0.117  0.758  0.504
Sb  0.008  0.376  0.129
Sb  0.871  0.880  0.248
Sb  0.752  0.624  0.632
Sb  0.500  0.000  0.500
Sb  0.368  0.120  0.992
Cl  0.250  0.500  0.750

***

First-principles (GGA-PBE) data for a relaxed structure of BaSbCl3, as listed in Alexandria.

## Properties
Distance to the lowest polymorph of the same formula in kJ/mol of atoms: 2.17
SG: No. 221
E_form (uncorrected) in eV per formula unit: -4.85

Unit cell a=5.626 b=5.626 c=5.626 alpha=90.00 beta=90.00 gamma=90.00
Atoms (fractional coordinates):
Sb  0.000  0.000  0.000
Ba  0.500  0.500  0.500
Cl  0.000  0.500  0.000
Cl  0.000  0.000  0.500
Cl  0.500  0.000  0.000

***

First-principles (GGA-PBE) data for a relaxed structure of Ba2SbCl, as listed in Alexandria.

## Properties
SG: No. 8
E_form (uncorrected) in eV per formula unit: -5.96

Unit cell a=6.897 b=6.897 c=5.328 alpha=90.00 beta=90.00 gamma=38.33
Atoms (fractional coordinates):
Ba  0.989  0.989  0.125
Ba  0.739  0.739  0.625
Cl  0.506  0.506  0.626
Sb  0.267  0.267  0.125

***

First-principles (GGA-PBE) data for a relaxed structure of BaSbCl3, as listed in Alexandria.

## Properties
Distance to the lowest polymorph of the same formula in kJ/mol of atoms: 0.00
SG: No. 221
E_form (uncorrected) in eV per formula unit: -4.96

Unit cell a=5.992 b=5.992 c=5.992 alpha=90.00 beta=90.00 gamma=90.00
Each line ends with the local moment (μB).
Atoms (fractional coordinates):
Sb  0.500  0.500  0.500  0.82
Ba  0.000  0.000  0.000  0.00
Cl  0.000  0.500  0.000  0.00
Cl  0.000  0.000  0.500  -0.01
Cl  0.500  0.000  0.000  -0.01

***

First-principles (GGA-PBE) data for a relaxed structure of Ba2SbCl, as listed in Alexandria.

## Properties
SG: No. 216
E_form (uncorrected) in eV per formula unit: -3.41

Unit cell a=5.821 b=5.821 c=5.821 alpha=60.00 beta=60.00 gamma=60.00
Atoms (fractional coordinates):
Ba  0.000  0.000  0.000
Ba  0.250  0.250  0.250
Cl  0.500  0.500  0.500
Sb  0.750  0.750  0.750

***

First-principles (GGA-PBE) data for a relaxed structure of BaSbCl, as listed in Alexandria.

## Properties
Distance to the lowest polymorph of the same formula in kJ/mol of atoms: 87.16
SG: No. 216
E_form (uncorrected) in eV per formula unit: -1.78

Unit cell a=5.676 b=5.676 c=5.676 alpha=60.00 beta=60.00 gamma=60.00
Each line ends with the local moment (μB).
Atoms (fractional coordinates):
Ba  0.000  0.000  0.000  0.13
Cl  0.500  0.500  0.500  0.23
Sb  0.750  0.750  0.750  0.59

***

First-principles (GGA-PBE) data for a relaxed structure of Ba4SbCl5, as listed in Alexandria.

## Properties
SG: No. 12
E_form (uncorrected) in eV per formula unit: -21.53

Unit cell a=4.944 b=8.912 c=10.270 alpha=115.66 beta=103.93 gamma=90.00
Atoms (fractional coordinates):
Ba  0.695  0.195  0.389
Ba  0.000  0.741  0.001
Ba  0.305  0.805  0.611
Ba  0.000  0.259  0.999
Sb  0.500  0.000  0.000
Cl  0.176  0.946  0.353
Cl  0.176  0.407  0.352
Cl  0.824  0.593  0.648
Cl  0.500  0.500  0.000
Cl  0.824  0.054  0.647

***

First-principles (GGA-PBE) data for a relaxed structure of Ba4Sb2Cl, as listed in Alexandria.

## Properties
Distance to the lowest polymorph of the same formula in kJ/mol of atoms: 13.39
SG: No. 139
E_form (uncorrected) in eV per formula unit: -7.82

Unit cell a=5.783 b=5.783 c=10.042 alpha=106.74 beta=106.74 gamma=90.00
Atoms (fractional coordinates):
Sb  0.630  0.630  0.259
Sb  0.370  0.370  0.741
Ba  0.815  0.815  0.630
Ba  0.185  0.185  0.370
Ba  0.000  0.500  0.000
Ba  0.500  0.000  0.000
Cl  0.000  0.000  0.000

***

First-principles (GGA-PBE) data for a relaxed structure of Ba2SbCl, as listed in Alexandria.

## Properties
SG: No. 10
E_form (uncorrected) in eV per formula unit: -6.07

Unit cell a=4.286 b=4.485 c=8.543 alpha=90.05 beta=90.00 gamma=90.00
Atoms (fractional coordinates):
Sb  0.500  0.750  0.750
Ba  0.000  0.250  0.964
Ba  0.000  0.250  0.536
Cl  0.500  0.250  0.250

***

First-principles (GGA-PBE) data for a relaxed structure of Ba2SbCl, as listed in Alexandria.

## Properties
SG: No. 119
E_form (uncorrected) in eV per formula unit: -5.04

Unit cell a=7.412 b=7.412 c=7.412 alpha=142.12 beta=142.13 gamma=54.64
Atoms (fractional coordinates):
Ba  0.000  0.000  0.000
Ba  0.250  0.750  0.500
Cl  0.500  0.500  0.000
Sb  0.750  0.250  0.500